No. 1
Density functional theory data (GGA-PBE) for a relaxed structure of AgBiCl2O.

## Properties
uncorrected energy = -3.883 eV per atom
symmetry = Cmcm, No. 63

a b c (Å): 7.0229 7.0229 8.7118
angles (deg): 90.00 90.00 149.88
With the nearest neighbours (Å) after each atom.
Fractional coordinates of all 10 atoms:
Ag 0.0000 0.0000 0.0000  2 O 2.58, 4 Cl 2.73
Ag 0.0000 0.0000 0.5000  2 O 2.58, 4 Cl 2.73
Bi 0.3065 0.6935 0.7500  2 O 2.21
Bi 0.6935 0.3065 0.2500  2 O 2.21
Cl 0.3558 0.6442 0.0608  2 Ag 2.73, 1 Bi 2.79
Cl 0.3558 0.6442 0.4392  2 Ag 2.73, 1 Bi 2.79
Cl 0.6442 0.3558 0.5608  2 Ag 2.73, 1 Bi 2.79
Cl 0.6442 0.3558 0.9392  2 Ag 2.73, 1 Bi 2.79
O 0.1020 0.8980 0.2500  2 Bi 2.21
O 0.8980 0.1020 0.7500  2 Bi 2.21

***

No. 2
Density functional theory data (GGA-PBE) for a relaxed structure of SrLiDyTe3.

## Properties
symmetry = Cmcm, No. 63
polymorph energy (0 for the lowest one) = 0.00 eV per formula unit

a b c (Å): 7.6275 7.6275 11.4017
angles (deg): 90.00 90.00 146.14
With the nearest neighbours (Å) after each atom.
Fractional coordinates of all 12 atoms:
Sr 0.2450 0.7550 0.7500  6 Te 3.34-3.45
Sr 0.7550 0.2450 0.2500  6 Te 3.34-3.45
Li 0.4760 0.5240 0.2500  4 Te 2.72-2.74
Li 0.5240 0.4760 0.7500  4 Te 2.72-2.74
Dy 0.0000 0.0000 0.0000  6 Te 3.10
Dy 0.0000 0.0000 0.5000  6 Te 3.10
Te 0.0839 0.9161 0.2500  2 Li 2.72
Te 0.3597 0.6403 0.0617  1 Li 2.74
Te 0.3597 0.6403 0.4383  1 Li 2.74
Te 0.6403 0.3597 0.5617  1 Li 2.74
Te 0.6403 0.3597 0.9383  1 Li 2.74
Te 0.9161 0.0839 0.7500  2 Li 2.72